No. 1
Compound: LaErTcAg
Source: Alexandria
Functional: GGA-PBE
Structure: relaxed

Cell: 5.070 5.070 5.070 Å, 60.00 60.00 60.00°
Sites, in units of the cell vectors:
Tc 0.750 0.750 0.750
La 0.000 0.000 0.000
Ag 0.250 0.250 0.250
Er 0.500 0.500 0.500

DOS at the Fermi energy: 4.126 states/eV/f.u.
Formation energy: -44 meV/atom
Size of the total moment: 0.00 μB/cell
SG: F-43m



No. 2
Compound: La3Er3AgTe8
Source: Alexandria
Functional: GGA-PBE
Structure: relaxed

Cell: 8.850 8.850 8.872 Å, 119.92 90.00 120.00°
Sites, in units of the cell vectors:
Te 0.737 0.988 0.739
Te 0.263 0.012 0.261
Te 0.749 0.498 0.261
Te 0.251 0.988 0.739
Te 0.256 0.512 0.268
Te 0.744 0.488 0.732
Te 0.749 0.012 0.261
Te 0.251 0.502 0.739
Er 0.500 0.500 0.500
Er 0.000 0.500 0.500
Er 0.500 0.000 0.500
La 0.000 0.500 0.000
La 0.500 0.500 0.000
La 0.000 0.000 0.000
Ag 0.000 0.000 0.500

Final energy: -5.0504 eV/atom
DOS at the Fermi energy: 4.958 states/eV/f.u.
Size of the total moment: 0.00 μB/cell
SG: R-3m



No. 3
Compound: LaEr2Tl2Ag2
Source: Alexandria
Functional: GGA-PBE
Structure: relaxed

Cell: 4.928 4.928 9.282 Å, 74.60 74.60 60.00°
Sites, in units of the cell vectors:
Tl 0.261 0.261 0.218
Tl 0.739 0.739 0.782
Er 0.134 0.134 0.598
Er 0.866 0.866 0.402
Ag 0.440 0.440 0.679
Ag 0.560 0.560 0.321
La 0.000 0.000 0.000

DOS at the Fermi energy: 7.416 states/eV/f.u.
Formation energy: -223 meV/atom
Size of the total moment: 0.00 μB/cell
SG: R-3m



No. 4
Compound: LaErTmAg
Source: Alexandria
Functional: GGA-PBE
Structure: relaxed

Cell: 5.442 5.442 5.442 Å, 60.00 60.00 60.00°
Sites, in units of the cell vectors:
La 0.500 0.500 0.500
Tm 0.750 0.750 0.750
Ag 0.250 0.250 0.250
Er 0.000 0.000 0.000

DOS at the Fermi energy: 4.221 states/eV/f.u.
Formation energy: 57 meV/atom
Size of the total moment: 0.00 μB/cell
SG: F-43m
Excess energy over the best structure of this formula in the dataset: 0.75 eV/f.u.



No. 5
Compound: LaErTmAg
Source: Alexandria
Functional: GGA-PBE
Structure: relaxed

Cell: 3.623 3.623 8.712 Å, 90.00 90.00 90.00°
Sites, in units of the cell vectors:
Ag 0.000 0.000 0.569
Er 0.500 0.500 0.774
La 0.000 0.000 0.072
Tm 0.500 0.500 0.369

DOS at the Fermi energy: 5.529 states/eV/f.u.
Formation energy: -130 meV/atom
Size of the total moment: 0.00 μB/cell
SG: P4mm
Excess energy over the best structure of this formula in the dataset: 0.00 eV/f.u.



No. 6
Compound: LaYErAg
Source: Alexandria
Functional: GGA-PBE
Structure: relaxed

Cell: 3.646 3.646 8.773 Å, 90.00 90.00 90.00°
Sites, in units of the cell vectors:
La 0.000 0.000 0.075
Ag 0.000 0.000 0.566
Y 0.500 0.500 0.775
Er 0.500 0.500 0.369

DOS at the Fermi energy: 5.855 states/eV/f.u.
Formation energy: -130 meV/atom
Size of the total moment: 0.00 μB/cell
SG: P4mm



No. 7
Compound: LaErZnAg
Source: Alexandria
Functional: GGA-PBE
Structure: relaxed

Cell: 3.647 3.647 7.489 Å, 90.00 90.00 90.00°
Sites, in units of the cell vectors:
Ag 0.000 0.000 0.825
Zn 0.000 0.000 0.383
Er 0.500 0.500 0.602
La 0.500 0.500 0.117

DOS at the Fermi energy: 3.860 states/eV/f.u.
Formation energy: -312 meV/atom
Size of the total moment: 0.04 μB/cell
SG: P4mm
Excess energy over the best structure of this formula in the dataset: 0.00 eV/f.u.



No. 8
Compound: LaErZnAg
Source: Alexandria
Functional: GGA-PBE
Structure: relaxed

Cell: 5.224 5.224 5.224 Å, 60.00 60.00 60.00°
Sites, in units of the cell vectors:
La 0.500 0.500 0.500
Zn 0.250 0.250 0.250
Ag 0.750 0.750 0.750
Er 0.000 0.000 0.000

DOS at the Fermi energy: 2.537 states/eV/f.u.
Formation energy: -287 meV/atom
Size of the total moment: 0.00 μB/cell
SG: F-43m
Excess energy over the best structure of this formula in the dataset: 0.10 eV/f.u.



No. 9
Compound: LiEr4Ag3
Source: Alexandria
Functional: GGA-PBE
Structure: relaxed

Cell: 5.095 5.095 8.089 Å, 108.41 108.36 90.00°
Sites, in units of the cell vectors:
Er 0.874 0.874 0.748
Er 0.126 0.126 0.252
Er 0.374 0.374 0.748
Er 0.626 0.626 0.252
Ag 0.257 0.757 0.515
Ag 0.000 0.500 0.000
Ag 0.743 0.243 0.485
Li 0.500 0.000 0.000

DOS at the Fermi energy: 3.829 states/eV/f.u.
Formation energy: -230 meV/atom
Size of the total moment: 0.00 μB/cell
SG: C2/m



No. 10
Compound: LiEr3Ag2
Source: Alexandria
Functional: GGA-PBE
Structure: relaxed

Cell: 3.613 3.613 10.911 Å, 90.00 90.00 90.00°
Sites, in units of the cell vectors:
Er 0.000 0.000 0.328
Er 0.000 0.000 0.000
Er 0.000 0.000 0.672
Ag 0.500 0.500 0.169
Ag 0.500 0.500 0.831
Li 0.500 0.500 0.500

DOS at the Fermi energy: 3.042 states/eV/f.u.
Formation energy: -181 meV/atom
Size of the total moment: 0.00 μB/cell
SG: P4/mmm
Excess energy over the best structure of this formula in the dataset: 0.07 eV/f.u.



No. 11
Compound: Li4ErAg5
Source: Alexandria
Functional: GGA-PBE
Structure: relaxed

Cell: 3.315 3.315 16.066 Å, 90.00 90.00 90.00°
Sites, in units of the cell vectors:
Li 0.000 0.000 0.220
Li 0.000 0.000 0.593
Li 0.000 0.000 0.407
Li 0.000 0.000 0.780
Ag 0.500 0.500 0.126
Ag 0.500 0.500 0.500
Ag 0.500 0.500 0.312
Ag 0.500 0.500 0.874
Ag 0.500 0.500 0.688
Er 0.000 0.000 0.000

DOS at the Fermi energy: 4.117 states/eV/f.u.
Formation energy: -215 meV/atom
Size of the total moment: 0.00 μB/cell
SG: P4/mmm



No. 12
Compound: LiErAg5
Source: Alexandria
Functional: GGA-PBE
Structure: relaxed

Cell: 4.511 4.511 6.733 Å, 90.00 90.00 90.00°
Sites, in units of the cell vectors:
Ag 0.000 0.500 0.210
Ag 0.500 0.000 0.210
Ag 0.500 0.000 0.790
Ag 0.000 0.500 0.790
Ag 0.500 0.500 0.500
Er 0.000 0.000 0.500
Li 0.500 0.500 0.000

DOS at the Fermi energy: 2.701 states/eV/f.u.
Formation energy: -88 meV/atom
Size of the total moment: 0.00 μB/cell
SG: P4/mmm



No. 13
Compound: LiErAg3
Source: Alexandria
Functional: GGA-PBE
Structure: relaxed

Cell: 5.779 5.711 8.094 Å, 83.21 66.82 52.99°
Sites, in units of the cell vectors:
Ag 0.805 0.676 0.427
Ag 0.016 0.446 0.032
Ag 0.869 0.101 0.529
Ag 0.698 0.283 0.927
Ag 0.283 0.661 0.729
Ag 0.385 0.063 0.228
Li 0.036 0.870 0.114
Li 0.203 0.199 0.616
Er 0.469 0.500 0.330
Er 0.619 0.852 0.829

DOS at the Fermi energy: 2.132 states/eV/f.u.
Formation energy: -203 meV/atom
Size of the total moment: 0.00 μB/cell
SG: P1



No. 14
Compound: Li4ErAg7
Source: Alexandria
Functional: GGA-PBE
Structure: relaxed

Cell: 5.235 8.613 6.046 Å, 80.40 64.35 72.31°
Sites, in units of the cell vectors:
Ag 0.949 0.368 0.733
Ag 0.221 0.087 0.471
Ag 0.500 0.000 0.000
Ag 0.654 0.449 0.244
Ag 0.051 0.632 0.267
Ag 0.779 0.913 0.529
Ag 0.346 0.551 0.756
Er 0.000 0.000 0.000
Li 0.728 0.675 0.869
Li 0.272 0.325 0.131
Li 0.577 0.230 0.615
Li 0.423 0.770 0.385

DOS at the Fermi energy: 3.904 states/eV/f.u.
Formation energy: -30 meV/atom
Size of the total moment: 0.00 μB/cell
SG: C2/m



No. 15
Compound: Li3ErAg7
Source: Alexandria
Functional: GGA-PBE
Structure: relaxed

Cell: 5.678 7.499 7.499 Å, 79.94 124.73 124.73°
Sites, in units of the cell vectors:
Ag 0.320 0.587 0.039
Ag 0.000 0.500 0.500
Ag 0.680 0.961 0.413
Ag 0.687 0.822 0.822
Ag 0.313 0.178 0.178
Ag 0.680 0.413 0.961
Ag 0.320 0.039 0.587
Li 0.500 0.000 0.000
Li 0.000 0.769 0.231
Li 0.000 0.231 0.769
Er 0.500 0.500 0.500

DOS at the Fermi energy: 3.473 states/eV/f.u.
Formation energy: -41 meV/atom
Size of the total moment: 0.00 μB/cell
SG: C2/m



No. 16
Compound: Li3Er2Ag4
Source: Alexandria
Functional: GGA-PBE
Structure: relaxed

Cell: 5.770 7.877 8.293 Å, 90.00 110.36 90.00°
Sites, in units of the cell vectors:
Li 0.028 0.750 0.557
Li 0.472 0.250 0.443
Li 0.972 0.250 0.443
Li 0.528 0.750 0.557
Li 0.000 0.000 0.000
Li 0.500 0.500 0.000
Er 0.390 0.092 0.781
Er 0.610 0.908 0.219
Er 0.890 0.408 0.781
Er 0.110 0.592 0.219
Ag 0.196 0.750 0.891
Ag 0.696 0.750 0.891
Ag 0.320 0.469 0.640
Ag 0.304 0.250 0.109
Ag 0.820 0.031 0.640
Ag 0.180 0.969 0.360
Ag 0.680 0.531 0.360
Ag 0.804 0.250 0.109

DOS at the Fermi energy: 5.400 states/eV/f.u.
Formation energy: -191 meV/atom
Size of the total moment: 0.00 μB/cell
SG: Cmce



No. 17
Compound: Li3ErAg3
Source: Alexandria
Functional: GGA-PBE
Structure: relaxed

Cell: 6.728 6.728 6.728 Å, 90.00 90.00 90.00°
Sites, in units of the cell vectors:
Ag 0.000 0.750 0.500
Ag 0.500 0.000 0.750
Ag 0.000 0.250 0.500
Ag 0.500 0.000 0.250
Ag 0.250 0.500 0.000
Ag 0.750 0.500 0.000
Li 0.500 0.250 0.000
Li 0.750 0.000 0.500
Li 0.500 0.750 0.000
Li 0.000 0.500 0.250
Li 0.250 0.000 0.500
Li 0.000 0.500 0.750
Er 0.000 0.000 0.000
Er 0.500 0.500 0.500

DOS at the Fermi energy: 3.361 states/eV/f.u.
Formation energy: 259 meV/atom
Size of the total moment: 0.00 μB/cell
SG: Pm-3n



No. 18
Compound: Li3ErAg4
Source: Alexandria
Functional: GGA-PBE
Structure: relaxed

Cell: 3.378 3.378 12.722 Å, 90.00 90.00 90.00°
Sites, in units of the cell vectors:
Ag 0.000 0.000 0.154
Ag 0.000 0.000 0.846
Ag 0.000 0.000 0.384
Ag 0.000 0.000 0.616
Li 0.500 0.500 0.500
Li 0.500 0.500 0.269
Li 0.500 0.500 0.731
Er 0.500 0.500 0.000

DOS at the Fermi energy: 3.924 states/eV/f.u.
Formation energy: -219 meV/atom
Size of the total moment: 0.00 μB/cell
SG: P4/mmm



No. 19
Compound: LiEr3Ag2
Source: Alexandria
Functional: GGA-PBE
Structure: relaxed

Cell: 3.634 5.083 8.076 Å, 108.34 90.00 90.00°
Sites, in units of the cell vectors:
Er 0.500 0.500 0.000
Er 0.500 0.830 0.659
Er 0.500 0.170 0.341
Li 0.000 0.000 0.000
Ag 0.000 0.660 0.320
Ag 0.000 0.340 0.680

DOS at the Fermi energy: 3.454 states/eV/f.u.
Formation energy: -194 meV/atom
Size of the total moment: 0.00 μB/cell
SG: Cmmm
Excess energy over the best structure of this formula in the dataset: 0.00 eV/f.u.



No. 20
Compound: LiErMg2Ag4
Source: Alexandria
Functional: GGA-PBE
Structure: relaxed

Cell: 4.775 4.775 8.343 Å, 73.37 73.37 60.00°
Sites, in units of the cell vectors:
Ag 0.386 0.386 0.843
Ag 0.872 0.872 0.384
Ag 0.128 0.128 0.616
Ag 0.614 0.614 0.157
Mg 0.752 0.752 0.744
Mg 0.248 0.248 0.256
Li 0.500 0.500 0.500
Er 0.000 0.000 0.000

DOS at the Fermi energy: 4.181 states/eV/f.u.
Formation energy: -246 meV/atom
Size of the total moment: 0.00 μB/cell
SG: R-3m